TiMnFeS2 after structural relaxation. Source: the Alexandria database, functional GGA-PBE.

a b c (Å): 4.6200 4.6200 4.2146
angles (deg): 90.00 90.00 90.00
Last column: nearest neighbours and their distance in Å.
Element x y z (fractional)
Ti 0.0000 0.0000 0.0000  2 Fe 2.11, 4 S 2.31
Mn 0.5000 0.5000 0.5000  8 S 3.13, 4 Fe 3.27
Fe 0.0000 0.0000 0.5000  2 Ti 2.11
S 0.0000 0.5000 0.0000  2 Ti 2.31
S 0.5000 0.0000 0.0000  2 Ti 2.31

DOS at the Fermi energy = 8.10 states/eV/cell
Calculated density = 4.11 g cm⁻³
Space group = P4/mmm
E = -5.8287 eV/atom